# LiCa2Pr2Au4 | the Alexandria database | PBE | relaxed
data_LiCa2Pr2Au4
_chemical_formula_sum 'Li2 Ca4 Pr4 Au8'
_cell_length_a 7.207
_cell_length_b 7.207
_cell_length_c 8.558
_cell_angle_alpha 90.00
_cell_angle_beta 90.00
_cell_angle_gamma 90.00
_space_group_name_H-M_alt 'I 4/m m m'
_space_group_IT_number 139
_space_group_name_Hall '-I 4 2'
loop_
_atom_site_label
_atom_site_fract_x
_atom_site_fract_y
_atom_site_fract_z
Li1 0.000 0.000 0.000
Ca1 0.000 0.500 0.250
Pr1 0.000 0.000 0.311
Au1 0.243 0.243 0.000
# - energy (eV/atom) = -3.6688
# - ΔH_f (0 K) (eV/f.u.) = -4.43
# - V (Å³/cell) = 444.5